# Ru2RhCl, optimized geometry, DFT PBE
data_Ru2RhCl
_cell_length_a 3.663
_cell_length_b 2.813
_cell_length_c 6.142
_cell_angle_alpha 90.02
_cell_angle_beta 90.00
_cell_angle_gamma 90.00
_symmetry_space_group_name_H-M 'P 1'
_symmetry_Int_Tables_number 1
loop_
_symmetry_equiv_pos_as_xyz
'x,y,z'
loop_
_atom_site_label
_atom_site_fract_x
_atom_site_fract_y
_atom_site_fract_z
_atom_site_occupancy
Cl1 0.500 0.250 0.250 1
Rh1 0.500 0.750 0.750 1
Ru1 0.000 0.250 0.958 1
Ru2 0.000 0.250 0.542 1
# formation energy without anion corrections: 0.464 eV/atom
# energy above the most stable polymorph in this dataset: 118.1 meV per atom
# SG: Pmmm

---

# KBaB2, optimized geometry, DFT PBE
data_KBaB2
_cell_length_a 5.171
_cell_length_b 5.171
_cell_length_c 5.171
_cell_angle_alpha 60.00
_cell_angle_beta 60.00
_cell_angle_gamma 60.00
_symmetry_space_group_name_H-M 'P 1'
_symmetry_Int_Tables_number 1
loop_
_symmetry_equiv_pos_as_xyz
'x,y,z'
loop_
_atom_site_label
_atom_site_fract_x
_atom_site_fract_y
_atom_site_fract_z
_atom_site_occupancy
K1 0.000 0.000 0.000 1
B1 0.250 0.250 0.250 1
B2 0.750 0.750 0.750 1
Ba1 0.500 0.500 0.500 1
# DFT formation energy: 5.70 eV per formula unit
# energy above the most stable polymorph in this dataset: 0.0 meV per atom
# SG: Fm-3m

---

# InIrO2, optimized geometry, DFT PBE
data_InIrO2
_cell_length_a 4.961
_cell_length_b 4.961
_cell_length_c 6.137
_cell_angle_alpha 66.16
_cell_angle_beta 66.16
_cell_angle_gamma 90.00
_symmetry_space_group_name_H-M 'P 1'
_symmetry_Int_Tables_number 1
loop_
_symmetry_equiv_pos_as_xyz
'x,y,z'
loop_
_atom_site_label
_atom_site_fract_x
_atom_site_fract_y
_atom_site_fract_z
_atom_site_occupancy
Ir1 0.000 0.000 0.000 1
Ir2 0.750 0.250 0.500 1
O1 0.639 0.125 0.250 1
O2 0.111 0.625 0.250 1
O3 0.375 0.361 0.750 1
O4 0.875 0.889 0.750 1
In1 0.500 0.500 0.000 1
In2 0.250 0.750 0.500 1
# formation energy without anion corrections: -0.079 eV/atom
# SG: I-42d

---

# Cr2CoSe, optimized geometry, DFT PBE
data_Cr2CoSe
_cell_length_a 3.506
_cell_length_b 3.749
_cell_length_c 3.947
_cell_angle_alpha 90.00
_cell_angle_beta 90.00
_cell_angle_gamma 90.00
_symmetry_space_group_name_H-M 'P 1'
_symmetry_Int_Tables_number 1
loop_
_symmetry_equiv_pos_as_xyz
'x,y,z'
loop_
_atom_site_label
_atom_site_fract_x
_atom_site_fract_y
_atom_site_fract_z
_atom_site_occupancy
Co1 0.000 0.500 0.500 1
Cr1 0.000 0.000 0.000 1
Cr2 0.500 0.500 0.000 1
Se1 0.500 0.000 0.500 1
# formation energy without anion corrections: 0.189 eV/atom
# SG: Pmmm

---

# Al8Ir2Ru, optimized geometry, DFT PBE
data_Al8Ir2Ru
_cell_length_a 4.095
_cell_length_b 7.415
_cell_length_c 6.920
_cell_angle_alpha 122.39
_cell_angle_beta 107.21
_cell_angle_gamma 90.00
_symmetry_space_group_name_H-M 'P 1'
_symmetry_Int_Tables_number 1
loop_
_symmetry_equiv_pos_as_xyz
'x,y,z'
loop_
_atom_site_label
_atom_site_fract_x
_atom_site_fract_y
_atom_site_fract_z
_atom_site_occupancy
Al1 0.659 0.878 0.319 1
Al2 0.341 0.559 0.681 1
Al3 0.140 0.140 0.281 1
Al4 0.000 0.316 0.000 1
Al5 0.860 0.860 0.719 1
Al6 0.659 0.441 0.319 1
Al7 0.341 0.122 0.681 1
Al8 0.000 0.684 0.000 1
Ir1 0.199 0.699 0.398 1
Ir2 0.801 0.301 0.602 1
Ru1 0.500 0.000 0.000 1
# DFT formation energy: -6.78 eV per formula unit
# SG: Immm

---

# Mg4FeSi, optimized geometry, DFT PBE
data_Mg4FeSi
_cell_length_a 5.518
_cell_length_b 5.518
_cell_length_c 5.518
_cell_angle_alpha 60.00
_cell_angle_beta 60.00
_cell_angle_gamma 60.00
_symmetry_space_group_name_H-M 'P 1'
_symmetry_Int_Tables_number 1
loop_
_symmetry_equiv_pos_as_xyz
'x,y,z'
loop_
_atom_site_label
_atom_site_fract_x
_atom_site_fract_y
_atom_site_fract_z
_atom_site_occupancy
Mg1 0.876 0.375 0.375 1
Mg2 0.375 0.375 0.876 1
Mg3 0.375 0.876 0.375 1
Mg4 0.375 0.375 0.375 1
Fe1 0.000 0.000 0.000 1
Si1 0.750 0.750 0.750 1
# formation energy without anion corrections: 0.564 eV/atom
# SG: F-43m

---

# LiNi2W, optimized geometry, DFT PBE
data_LiNi2W
_cell_length_a 2.636
_cell_length_b 4.409
_cell_length_c 4.409
_cell_angle_alpha 90.00
_cell_angle_beta 90.00
_cell_angle_gamma 90.00
_symmetry_space_group_name_H-M 'P 1'
_symmetry_Int_Tables_number 1
loop_
_symmetry_equiv_pos_as_xyz
'x,y,z'
loop_
_atom_site_label
_atom_site_fract_x
_atom_site_fract_y
_atom_site_fract_z
_atom_site_occupancy
Li1 0.500 0.000 0.500 1
Ni1 0.000 0.000 0.000 1
Ni2 0.000 0.500 0.500 1
W1 0.500 0.500 0.000 1
# DFT formation energy: 0.32 eV per formula unit
# SG: P4/mmm

---

# Ca3Al4Cu, optimized geometry, DFT PBE
data_Ca3Al4Cu
_cell_length_a 6.073
_cell_length_b 5.621
_cell_length_c 11.418
_cell_angle_alpha 90.00
_cell_angle_beta 90.00
_cell_angle_gamma 90.00
_symmetry_space_group_name_H-M 'P 1'
_symmetry_Int_Tables_number 1
loop_
_symmetry_equiv_pos_as_xyz
'x,y,z'
loop_
_atom_site_label
_atom_site_fract_x
_atom_site_fract_y
_atom_site_fract_z
_atom_site_occupancy
Ca1 0.537 0.000 0.000 1
Ca2 0.463 0.500 0.500 1
Ca3 0.814 0.500 0.760 1
Ca4 0.814 0.500 0.240 1
Ca5 0.186 0.000 0.740 1
Ca6 0.186 0.000 0.260 1
Al1 0.327 0.500 0.877 1
Al2 0.327 0.500 0.123 1
Al3 0.025 0.247 0.000 1
Al4 0.025 0.753 0.000 1
Al5 0.975 0.747 0.500 1
Al6 0.975 0.253 0.500 1
Al7 0.673 0.000 0.377 1
Al8 0.673 0.000 0.623 1
Cu1 0.677 0.500 0.000 1
Cu2 0.323 0.000 0.500 1
# DFT formation energy: -1.97 eV per formula unit
# SG: Pmmn

---

# LaNdHo, optimized geometry, DFT PBE
data_LaNdHo
_cell_length_a 3.665
_cell_length_b 5.164
_cell_length_c 6.305
_cell_angle_alpha 114.17
_cell_angle_beta 106.90
_cell_angle_gamma 90.00
_symmetry_space_group_name_H-M 'P 1'
_symmetry_Int_Tables_number 1
loop_
_symmetry_equiv_pos_as_xyz
'x,y,z'
loop_
_atom_site_label
_atom_site_fract_x
_atom_site_fract_y
_atom_site_fract_z
_atom_site_occupancy
La1 0.667 0.667 0.334 1
Nd1 0.334 0.334 0.668 1
Ho1 0.999 0.999 0.998 1
# DFT formation energy: 0.06 eV per formula unit
# energy above the most stable polymorph in this dataset: 0.0 meV per atom
# SG: Imm2

---

# Ni2AsPb, optimized geometry, DFT PBE
data_Ni2AsPb
_cell_length_a 3.189
_cell_length_b 3.190
_cell_length_c 7.029
_cell_angle_alpha 90.00
_cell_angle_beta 90.00
_cell_angle_gamma 90.00
_symmetry_space_group_name_H-M 'P 1'
_symmetry_Int_Tables_number 1
loop_
_symmetry_equiv_pos_as_xyz
'x,y,z'
loop_
_atom_site_label
_atom_site_fract_x
_atom_site_fract_y
_atom_site_fract_z
_atom_site_occupancy
As1 0.500 0.500 0.863 1
Ni1 0.000 0.000 0.009 1
Ni2 0.500 0.500 0.195 1
Pb1 0.000 0.000 0.433 1
# DFT formation energy: 0.10 eV per formula unit
# SG: P4mm

---

# Pm2Ho3Pb, optimized geometry, DFT PBE
data_Pm2Ho3Pb
_cell_length_a 4.945
_cell_length_b 4.875
_cell_length_c 8.027
_cell_angle_alpha 107.68
_cell_angle_beta 90.00
_cell_angle_gamma 90.00
_symmetry_space_group_name_H-M 'P 1'
_symmetry_Int_Tables_number 1
loop_
_symmetry_equiv_pos_as_xyz
'x,y,z'
loop_
_atom_site_label
_atom_site_fract_x
_atom_site_fract_y
_atom_site_fract_z
_atom_site_occupancy
Pm1 0.000 0.662 0.323 1
Pm2 0.000 0.338 0.677 1
Ho1 0.500 0.167 0.334 1
Ho2 0.500 0.500 0.000 1
Ho3 0.500 0.833 0.666 1
Pb1 0.000 0.000 0.000 1
# DFT formation energy: -1.04 eV per formula unit
# SG: Cmmm

---

# LiCuAs2, optimized geometry, DFT PBE
data_LiCuAs2
_cell_length_a 2.919
_cell_length_b 3.777
_cell_length_c 5.816
_cell_angle_alpha 90.00
_cell_angle_beta 90.00
_cell_angle_gamma 90.00
_symmetry_space_group_name_H-M 'P 1'
_symmetry_Int_Tables_number 1
loop_
_symmetry_equiv_pos_as_xyz
'x,y,z'
loop_
_atom_site_label
_atom_site_fract_x
_atom_site_fract_y
_atom_site_fract_z
_atom_site_occupancy
As1 0.000 0.000 0.012 1
As2 0.000 0.000 0.488 1
Cu1 0.500 0.500 0.250 1
Li1 0.500 0.500 0.750 1
# DFT formation energy: -0.38 eV per formula unit
# energy above the most stable polymorph in this dataset: 95.9 meV per atom
# SG: Pmmm

---

# La2PaSi3Ni12, optimized geometry, DFT PBE
data_La2PaSi3Ni12
_cell_length_a 7.330
_cell_length_b 7.330
_cell_length_c 7.330
_cell_angle_alpha 62.74
_cell_angle_beta 62.74
_cell_angle_gamma 62.74
_symmetry_space_group_name_H-M 'P 1'
_symmetry_Int_Tables_number 1
loop_
_symmetry_equiv_pos_as_xyz
'x,y,z'
loop_
_atom_site_label
_atom_site_fract_x
_atom_site_fract_y
_atom_site_fract_z
_atom_site_occupancy
La1 0.600 0.600 0.600 1
La2 0.400 0.400 0.400 1
Pa1 0.000 0.000 0.000 1
Si1 0.500 0.000 0.000 1
Si2 0.000 0.500 0.000 1
Si3 0.000 0.000 0.500 1
Ni1 0.353 0.353 0.909 1
Ni2 0.858 0.858 0.398 1
Ni3 0.398 0.858 0.858 1
Ni4 0.909 0.353 0.353 1
Ni5 0.858 0.398 0.858 1
Ni6 0.353 0.909 0.353 1
Ni7 0.647 0.647 0.091 1
Ni8 0.142 0.142 0.602 1
Ni9 0.602 0.142 0.142 1
Ni10 0.091 0.647 0.647 1
Ni11 0.142 0.602 0.142 1
Ni12 0.647 0.091 0.647 1
# formation energy without anion corrections: -0.047 eV/atom
# SG: R-3m